Below is a relaxed MgMn2Fe2P4O16 crystal, with properties calculated at the PBE with a Hubbard U level.

abc: 5.9915 5.0514 10.0258
angles: 88.24 90.00 90.00
Fractional coordinates of all 25 atoms:
P 0.0000 0.6011 0.9050
O 0.5000 0.1488 0.4403
Mg 0.0000 0.0705 0.0670
O 0.2032 0.7364 0.8360
P 0.5000 0.1177 0.5953
O 0.0000 0.2074 0.3840
Mn 0.0000 0.0698 0.7119
O 0.2020 0.7780 0.3307
O 0.7057 0.2108 0.1522
O 0.7980 0.7780 0.3307
P 0.0000 0.9094 0.4091
O 0.7968 0.7364 0.8360
O 0.0000 0.8241 0.5540
O 0.0000 0.6801 0.0563
O 0.5000 0.3462 0.9387
O 0.2992 0.2609 0.6603
Fe 0.0000 0.4823 0.2464
O 0.7008 0.2609 0.6603
O 0.5000 0.6578 0.1369
O 0.0000 0.2958 0.9014
Mn 0.5000 0.5703 0.7733
O 0.2943 0.2108 0.1522
Fe 0.5000 0.9298 0.2837
P 0.5000 0.3736 0.0900
O 0.5000 0.8134 0.6231

Summary:
- raw total energy (eV/atom) = -7.204